A plane-wave DFT calculation with PBE was carried out for a geometry-optimized CsLaNiSe3 structure.

POSCAR file:
```
CsLaNiSe3
1.0
2.137 -7.967 0.000
2.137 7.967 0.000
0.000 0.000 11.422
Cs La Ni Se
2 2 2 6
Direct
0.241 0.759 0.750
0.759 0.241 0.250
0.500 0.500 0.000
0.500 0.500 0.500
0.032 0.968 0.250
0.968 0.032 0.750
0.119 0.881 0.078
0.119 0.881 0.422
0.450 0.550 0.250
0.550 0.450 0.750
0.881 0.119 0.578
0.881 0.119 0.922
```

Properties
* E_tot: -4.842 eV/atom
* space-group type: No. 63

A plane-wave DFT calculation with PBE was carried out for a geometry-optimized BeZnFeGe structure.

POSCAR file:
```
BeZnFeGe
1.0
5.759 0.000 0.000
0.000 5.759 0.000
0.000 0.000 5.759
Be Zn Fe Ge
4 4 4 4
Direct
0.000 0.000 0.000
0.000 0.500 0.500
0.500 0.000 0.500
0.500 0.500 0.000
0.250 0.250 0.750
0.250 0.750 0.250
0.750 0.250 0.250
0.750 0.750 0.750
0.250 0.250 0.250
0.250 0.750 0.750
0.750 0.250 0.750
0.750 0.750 0.250
0.000 0.000 0.500
0.000 0.500 0.000
0.500 0.000 0.000
0.500 0.500 0.500
```

Properties
* E_tot: -4.205 eV/atom
* space-group type: No. 216

A plane-wave DFT calculation with PBE was carried out for a geometry-optimized BaRe6N8O structure.

POSCAR file:
```
BaRe6N8O
1.0
-3.918 5.189 2.831
3.918 -5.189 2.831
3.918 5.189 -2.831
Ba Re N O
1 6 8 1
Direct
0.000 0.000 0.000
0.323 0.642 0.680
0.388 0.292 0.561
0.388 0.827 0.096
0.731 0.292 0.904
0.731 0.827 0.439
0.962 0.642 0.320
0.063 0.211 0.503
0.063 0.561 0.852
0.241 0.979 0.262
0.507 0.306 0.799
0.507 0.709 0.201
0.709 0.211 0.148
0.709 0.561 0.497
0.717 0.979 0.738
0.184 0.684 0.500
```

Properties
* E_tot: -9.391 eV/atom
* space-group type: No. 44